Record 1
## YTmIrPb (PBE)

Data for a geometry-optimized YTmIrPb structure.

Values from the calculation:
VASP energy	-6.37	eV per atom
ΔE_f	-47.64	kJ per mole of atoms
offset from the most stable computed form	196	meV per atom
space group	F-43m
crystal system	cubic

Cell lengths 5.108, 5.108, 5.108 Å; angles 60.00, 60.00, 60.00 degrees
Positions (direct):
Y: 0.750 0.750 0.750
Tm: 0.250 0.250 0.250
Ir: 0.000 0.000 0.000
Pb: 0.500 0.500 0.500

=====

Record 2
## VIr3Pb (PBE)

Data for a geometry-optimized VIr3Pb structure.

Values from the calculation:
VASP energy	-5.60	eV per atom
ΔE_f	219.80	kJ per mole of atoms
offset from the most stable computed form	1323	meV per atom
space group	Pm-3m
crystal system	cubic

Cell lengths 4.937, 4.937, 4.937 Å; angles 90.00, 90.00, 90.00 degrees
Positions (direct):
Ir: 0.500 0.000 0.000
Ir: 0.000 0.500 0.000
Ir: 0.000 0.000 0.500
Pb: 0.000 0.000 0.000
V: 0.500 0.500 0.500

=====

Record 3
## VIr3Pb (PBE)

Data for a geometry-optimized VIr3Pb structure.

Values from the calculation:
VASP energy	-6.93	eV per atom
ΔE_f	92.12	kJ per mole of atoms
offset from the most stable computed form	0	meV per atom
space group	Pm-3m
crystal system	cubic

Cell lengths 4.632, 4.632, 4.632 Å; angles 90.00, 90.00, 90.00 degrees
Positions (direct):
Ir: 0.500 0.000 0.000
Ir: 0.000 0.000 0.500
Ir: 0.000 0.500 0.000
Pb: 0.500 0.500 0.500
V: 0.000 0.000 0.000

=====

Record 4
## V3IrPb (PBE)

Data for a geometry-optimized V3IrPb structure.

Values from the calculation:
VASP energy	-7.20	eV per atom
ΔE_f	75.63	kJ per mole of atoms
offset from the most stable computed form	0	meV per atom
space group	Pm-3m
crystal system	cubic

Cell lengths 4.681, 4.681, 4.681 Å; angles 90.00, 90.00, 90.00 degrees
Positions (direct):
Ir: 0.000 0.000 0.000
V: 0.000 0.000 0.500
V: 0.000 0.500 0.000
V: 0.500 0.000 0.000
Pb: 0.500 0.500 0.500

=====

Record 5
## VIrPb2 (PBE)

Data for a geometry-optimized VIrPb2 structure.

Values from the calculation:
VASP energy	-5.62	eV per atom
ΔE_f	70.82	kJ per mole of atoms
offset from the most stable computed form	254	meV per atom
space group	I-42d
crystal system	tetragonal

Cell lengths 7.775, 7.775, 6.257 Å; angles 51.59, 51.59, 90.00 degrees
Positions (direct):
Pb: 0.375 0.352 0.750
Pb: 0.102 0.625 0.250
Pb: 0.875 0.898 0.750
Pb: 0.648 0.125 0.250
V: 0.500 0.500 0.000
V: 0.250 0.750 0.500
Ir: 0.000 0.000 0.000
Ir: 0.750 0.250 0.500

=====

Record 6
## VIrPb2 (PBE)

Data for a geometry-optimized VIrPb2 structure.

Values from the calculation:
VASP energy	-5.87	eV per atom
ΔE_f	46.32	kJ per mole of atoms
offset from the most stable computed form	0	meV per atom
space group	Fm-3m
crystal system	cubic

Cell lengths 4.833, 4.833, 4.833 Å; angles 60.00, 60.00, 60.00 degrees
Positions (direct):
Pb: 0.750 0.750 0.750
Pb: 0.250 0.250 0.250
V: 0.000 0.000 0.000
Ir: 0.500 0.500 0.500